Entry 1:
## CaPmGaPb (PBE-GGA)

Data for a geometry-optimized CaPmGaPb structure.

- DOS(E_F): 0.59 states/eV/atom
- Size of the total moment: 0.000 μB per atom
- Space-group type: F-43m (216)
- Raw total energy: -3.821 eV per atom

Lattice parameters (Å, degrees): 5.396 5.396 5.396 60.00 60.00 60.00
Atoms (fractional coordinates):
Ca1 0.000 0.000 0.000
Pm1 0.500 0.500 0.500
Ga1 0.250 0.250 0.250
Pb1 0.750 0.750 0.750

***

Entry 2:
## Rb2PuI6 (PBE-GGA)

Data for a geometry-optimized Rb2PuI6 structure.

- DOS(E_F): 1.80 states/eV/atom
- Size of the total moment: 0.432 μB per atom
- Space-group type: Amm2 (38)
- Raw total energy: -3.895 eV per atom

Lattice parameters (Å, degrees): 4.590 9.663 9.663 120.00 90.00 90.00
Atoms (fractional coordinates):
Rb1 0.000 0.167 0.833
Rb2 0.000 0.833 0.167
Pu1 0.500 0.500 0.500
I1 0.000 0.269 0.500
I2 0.000 0.500 0.269
I3 0.000 0.731 0.731
I4 0.500 0.129 0.129
I5 0.500 0.500 0.870
I6 0.500 0.870 0.500

***

Entry 3:
## NdSmAu2 (PBE-GGA)

Data for a geometry-optimized NdSmAu2 structure.

- DOS(E_F): 0.61 states/eV/atom
- Size of the total moment: 0.000 μB per atom
- Space-group type: Pm (6)
- Raw total energy: -4.827 eV per atom

Lattice parameters (Å, degrees): 3.867 4.779 5.965 90.00 109.06 90.00
Atoms (fractional coordinates):
Nd1 0.000 0.000 0.000
Sm1 0.723 0.500 0.449
Au1 0.273 0.000 0.549
Au2 0.448 0.500 0.896

***

Entry 4:
## KZrBr (PBE-GGA)

Data for a geometry-optimized KZrBr structure.

- Polymorph energy (0 for the lowest one): 1145 meV per atom
- DOS(E_F): 1.92 states/eV/atom
- Size of the total moment: 1.233 μB per atom
- Space-group type: F-43m (216)
- Raw total energy: -2.895 eV per atom

Lattice parameters (Å, degrees): 5.681 5.681 5.681 60.00 60.00 60.00
Atoms (fractional coordinates):
K1 0.000 0.000 0.000
Zr1 0.250 0.250 0.250
Br1 0.750 0.750 0.750

***

Entry 5:
## KCO2F (PBE-GGA)

Data for a geometry-optimized KCO2F structure.

- DOS(E_F): 0.15 states/eV/atom
- Size of the total moment: 0.053 μB per atom
- Space-group type: P4/mmm (123)
- Raw total energy: -4.544 eV per atom

Lattice parameters (Å, degrees): 3.284 3.284 5.279 90.00 90.00 90.00
Atoms (fractional coordinates):
K1 0.000 0.000 0.000
C1 0.500 0.500 0.500
O1 0.000 0.500 0.500
O2 0.500 0.000 0.500
F1 0.500 0.500 0.000

***

Entry 6:
## Er4Al3 (PBE-GGA)

Data for a geometry-optimized Er4Al3 structure.

- DOS(E_F): 0.93 states/eV/atom
- Size of the total moment: 0.000 μB per atom
- Space-group type: R-3m (166)
- Raw total energy: -4.454 eV per atom

Lattice parameters (Å, degrees): 8.655 8.655 8.655 33.64 33.64 33.64
Atoms (fractional coordinates):
Er1 0.120 0.120 0.120
Er2 0.372 0.372 0.372
Er3 0.628 0.628 0.628
Er4 0.880 0.880 0.880
Al1 0.248 0.248 0.248
Al2 0.500 0.500 0.500
Al3 0.752 0.752 0.752

***

Entry 7:
## ZnH2Br3 (PBE-GGA)

Data for a geometry-optimized ZnH2Br3 structure.

- Size of the total moment: 0.167 μB per atom
- Space-group type: C2/c (15)
- Raw total energy: -2.261 eV per atom

Lattice parameters (Å, degrees): 8.021 8.021 6.413 102.34 102.34 106.84
Atoms (fractional coordinates):
Zn1 0.001 0.999 0.750
Zn2 0.999 0.001 0.250
H1 0.277 0.539 0.918
H2 0.461 0.723 0.582
H3 0.539 0.277 0.418
H4 0.723 0.461 0.082
Br1 0.042 0.249 0.076
Br2 0.249 0.042 0.576
Br3 0.389 0.611 0.750
Br4 0.611 0.389 0.250
Br5 0.751 0.958 0.424
Br6 0.958 0.751 0.924

***

Entry 8:
## Cs2RbH6Pd (PBE-GGA)

Data for a geometry-optimized Cs2RbH6Pd structure.

- DOS(E_F): 0.33 states/eV/atom
- Size of the total moment: 0.082 μB per atom
- Space-group type: P-3m1 (164)
- Raw total energy: -2.973 eV per atom

Lattice parameters (Å, degrees): 6.367 6.367 7.173 90.00 90.00 120.00
Atoms (fractional coordinates):
Cs1 0.333 0.667 0.152
Cs2 0.667 0.333 0.848
Rb1 0.000 0.000 0.500
H1 0.123 0.246 0.865
H2 0.123 0.877 0.865
H3 0.246 0.123 0.135
H4 0.754 0.877 0.865
H5 0.877 0.123 0.135
H6 0.877 0.754 0.135
Pd1 0.000 0.000 0.000

***

Entry 9:
## ScTiCrH (PBE-GGA)

Data for a geometry-optimized ScTiCrH structure.

- Polymorph energy (0 for the lowest one): 0 meV per atom
- DOS(E_F): 0.69 states/eV/atom
- Size of the total moment: 0.000 μB per atom
- Space-group type: I4mm (107)
- Raw total energy: -6.896 eV per atom

Lattice parameters (Å, degrees): 5.567 5.567 5.567 146.54 146.54 48.04
Atoms (fractional coordinates):
Sc1 0.000 0.000 0.000
Ti1 0.713 0.713 0.000
Cr1 0.328 0.328 0.000
H1 0.510 0.510 0.000

***

Entry 10:
## ErTh2CrN5 (PBE-GGA)

Data for a geometry-optimized ErTh2CrN5 structure.

- DOS(E_F): 0.04 states/eV/atom
- Size of the total moment: 0.000 μB per atom
- Space-group type: P4/mbm (127)
- Raw total energy: -8.873 eV per atom

Lattice parameters (Å, degrees): 6.720 6.720 5.721 90.00 90.00 90.00
Atoms (fractional coordinates):
Er1 0.000 0.000 0.000
Er2 0.500 0.500 0.000
Th1 0.170 0.330 0.500
Th2 0.330 0.830 0.500
Th3 0.670 0.170 0.500
Th4 0.830 0.670 0.500
Cr1 0.000 0.500 0.000
Cr2 0.500 0.000 0.000
N1 0.000 0.000 0.500
N2 0.141 0.641 0.225
N3 0.141 0.641 0.775
N4 0.359 0.141 0.225
N5 0.359 0.141 0.775
N6 0.500 0.500 0.500
N7 0.641 0.859 0.225
N8 0.641 0.859 0.775
N9 0.859 0.359 0.225
N10 0.859 0.359 0.775

***

Entry 11:
## ScTc4Cl (PBE-GGA)

Data for a geometry-optimized ScTc4Cl structure.

- DOS(E_F): 1.31 states/eV/atom
- Size of the total moment: 0.000 μB per atom
- Space-group type: F-43m (216)
- Raw total energy: -7.745 eV per atom

Lattice parameters (Å, degrees): 5.249 5.249 5.249 60.00 60.00 60.00
Atoms (fractional coordinates):
Sc1 0.000 0.000 0.000
Tc1 0.126 0.625 0.625
Tc2 0.625 0.126 0.625
Tc3 0.625 0.625 0.126
Tc4 0.625 0.625 0.625
Cl1 0.250 0.250 0.250

***

Entry 12:
## Mg2ReRu (PBE-GGA)

Data for a geometry-optimized Mg2ReRu structure.

- Polymorph energy (0 for the lowest one): 241 meV per atom
- DOS(E_F): 0.78 states/eV/atom
- Size of the total moment: 0.075 μB per atom
- Space-group type: P2/m (10)
- Raw total energy: -5.975 eV per atom

Lattice parameters (Å, degrees): 2.742 4.498 5.208 90.00 101.92 90.00
Atoms (fractional coordinates):
Mg1 0.226 0.000 0.253
Mg2 0.774 0.000 0.747
Re1 0.500 0.500 0.000
Ru1 0.000 0.500 0.500

***

Among the records above, which one has the highest raw total energy?
ZnH2Br3